(1)
Here is a geometry-optimized NaMnPt structure from the Alexandria database. Energies are from PBE-GGA.

Calculated formation energy (eV/atom): 0.18
Excess energy over the best structure of this formula in the dataset (kcal/mol of atoms): 6.00

a = 10.3687 Å, b = 2.7617 Å, c = 8.1949 Å
α = 90.00°, β = 94.84°, γ = 90.00°
Closest atoms and distances in Å follow each position.
Space group Cm (No. 8)
One atom of each set of equivalent atoms:
1 Na 0.0000 0.0000 0.0000  2 Na 2.76, 4 Pt 2.97-3.00
2 Na 0.2059 0.0000 0.6277  3 Pt 2.70-2.89, 2 Na 2.76
3 Mn 0.3364 0.0000 0.2780  2 Mn 2.08
4 Mn 0.4490 0.5000 0.4149  2 Mn 2.08
5 Pt 0.1262 0.5000 0.2925  4 Mn 2.57-2.59, 2 Pt 2.76
6 Pt 0.4667 0.0000 0.6741  2 Mn 2.53, 1 Na 2.70, 2 Pt 2.76

(2)
Here is a geometry-optimized AcEuGdSc structure from the Alexandria database. Energies are from PBE-GGA.

Calculated formation energy (eV/atom): 0.15

a = 8.2309 Å, b = 8.2309 Å, c = 8.2309 Å
α = 90.00°, β = 90.00°, γ = 90.00°
Closest atoms and distances in Å follow each position.
Space group F-43m (No. 216)
One atom of each set of equivalent atoms:
1 Ac 0.0000 0.0000 0.0000  4 Sc 3.56, 4 Eu 3.56
2 Eu 0.2500 0.2500 0.2500  4 Gd 3.56, 4 Ac 3.56
3 Gd 0.0000 0.0000 0.5000  4 Sc 3.56, 4 Eu 3.56
4 Sc 0.2500 0.2500 0.7500  4 Gd 3.56, 4 Ac 3.56

(3)
Here is a geometry-optimized ZnPHS2 structure from the Alexandria database. Energies are from PBE-GGA.

Excess energy over the best structure of this formula in the dataset (kcal/mol of atoms): 0.00

a = 4.6998 Å, b = 4.6998 Å, c = 3.1283 Å
α = 90.00°, β = 90.00°, γ = 90.00°
Closest atoms and distances in Å follow each position.
Space group P4/mmm (No. 123)
One atom of each set of equivalent atoms:
1 Zn 0.0000 0.0000 0.0000  8 S 2.82, 2 Zn 3.13
2 P 0.5000 0.5000 0.0000  2 H 1.56
3 H 0.5000 0.5000 0.5000  2 P 1.56
4 S 0.0000 0.5000 0.5000  2 H 2.35

(4)
Here is a geometry-optimized LaZrW2 structure from the Alexandria database. Energies are from PBE-GGA.

Calculated formation energy (eV/atom): 0.66
Excess energy over the best structure of this formula in the dataset (kcal/mol of atoms): 9.43

a = 3.3014 Å, b = 4.8939 Å, c = 9.8581 Å
α = 90.00°, β = 90.00°, γ = 90.00°
Closest atoms and distances in Å follow each position.
Space group Immm (No. 71)
One atom of each set of equivalent atoms:
1 La 0.0000 0.0000 0.0000  4 Zr 2.95, 4 W 2.96, 2 La 3.30
2 Zr 0.0000 0.0000 0.5000  4 La 2.95, 4 W 2.98, 2 Zr 3.30
3 W 0.0000 0.5000 0.2513  6 W 2.95-3.30, 2 La 2.96, 2 Zr 2.98

(5)
Here is a geometry-optimized KScIn structure from the Alexandria database. Energies are from PBE-GGA.

Calculated formation energy (eV/atom): 0.23
Excess energy over the best structure of this formula in the dataset (kcal/mol of atoms): 3.51

a = 5.5169 Å, b = 5.5169 Å, c = 3.1017 Å
α = 90.00°, β = 90.00°, γ = 120.00°
Closest atoms and distances in Å follow each position.
Space group P3m1 (No. 156)
One atom of each set of equivalent atoms:
1 K 0.0000 0.0000 0.0000  2 K 3.10, 3 Sc 3.19
2 Sc 0.6667 0.3333 0.0041  2 Sc 3.10, 3 K 3.19
3 In 0.3333 0.6667 0.5018  2 In 3.10

(6)
Here is a geometry-optimized Ba3PtIBr structure from the Alexandria database. Energies are from PBE-GGA.

E_form (uncorrected) (meV/atom): -1244

a = 10.2214 Å, b = 4.7265 Å, c = 11.8076 Å
α = 90.00°, β = 95.20°, γ = 90.00°
Closest atoms and distances in Å follow each position.
Space group P2_1/m (No. 11)
One atom of each set of equivalent atoms:
1 Ba 0.0902 0.2500 0.3685  3 Pt 3.22-3.24
2 Ba 0.1733 0.2500 0.9074  1 Pt 3.12, 2 Br 3.18
3 Ba 0.3397 0.7500 0.6388  2 Pt 3.21, 1 Br 3.24, 1 I 3.56
4 Pt 0.1273 0.2500 0.6422  6 Ba 3.12-3.24
5 I 0.3792 0.7500 0.3426  5 Ba 3.56-3.82
6 Br 0.3815 0.7500 0.9143  3 Ba 3.18-3.24

(7)
Here is a geometry-optimized Tb12Tm3In structure from the Alexandria database. Energies are from PBE-GGA.

Calculated formation energy (eV/atom): -0.05

a = 4.9557 Å, b = 4.9557 Å, c = 20.0927 Å
α = 90.00°, β = 90.00°, γ = 90.00°
Closest atoms and distances in Å follow each position.
Space group P4/mmm (No. 123)
One atom of each set of equivalent atoms:
1 Tb 0.0000 0.0000 0.0000  8 Tb 3.48, 4 In 3.50
2 Tb 0.0000 0.0000 0.2459  4 Tm 3.50, 8 Tb 3.52-3.57
3 Tb 0.0000 0.0000 0.5000  4 Tm 3.50, 8 Tb 3.55
4 Tb 0.0000 0.5000 0.1217  8 Tb 3.48-3.52, 2 In 3.48, 2 Tm 3.56
5 Tb 0.0000 0.5000 0.3736  8 Tb 3.50-3.57, 4 Tm 3.53-3.55
6 Tm 0.5000 0.5000 0.2487  12 Tb 3.50-3.56
7 Tm 0.5000 0.5000 0.5000  12 Tb 3.50-3.55
8 In 0.5000 0.5000 0.0000  12 Tb 3.48-3.50

(8)
Here is a geometry-optimized LaPr3Cd3 structure from the Alexandria database. Energies are from PBE-GGA.

Calculated formation energy (eV/atom): -0.12

a = 8.3350 Å, b = 8.3350 Å, c = 21.3082 Å
α = 90.00°, β = 90.00°, γ = 120.00°
Closest atoms and distances in Å follow each position.
Space group R-3 (No. 148, hexagonal axes)
One atom of each set of equivalent atoms:
1 La 0.0000 0.0000 0.1579  6 Cd 3.46-3.67, 6 Pr 3.52-3.69
2 Pr 0.0457 0.5880 0.3777  4 Cd 3.24-3.55, 2 Pr 3.37, 1 La 3.52
3 Cd 0.0095 0.7854 0.5558  4 Cd 3.00-3.17, 2 Pr 3.24-3.35

(9)
Here is a geometry-optimized SrTeSe2 structure from the Alexandria database. Energies are from PBE-GGA.

E_form (uncorrected) (meV/atom): -546

a = 4.5632 Å, b = 4.5632 Å, c = 10.3044 Å
α = 90.00°, β = 90.00°, γ = 90.00°
Closest atoms and distances in Å follow each position.
Space group I4/mmm (No. 139)
One atom of each set of equivalent atoms:
1 Sr 0.0000 0.0000 0.0000  4 Te 3.23, 8 Se 3.44
2 Te 0.0000 0.0000 0.5000  4 Sr 3.23, 8 Se 3.44
3 Se 0.0000 0.5000 0.2500  4 Se 3.23, 4 Te 3.44, 4 Sr 3.44

(10)
Here is a geometry-optimized TeC3 structure from the Alexandria database. Energies are from PBE-GGA.

Excess energy over the best structure of this formula in the dataset (kcal/mol of atoms): 16.26
E_form (uncorrected) (meV/atom): 1671

a = 2.7368 Å, b = 2.7446 Å, c = 6.0463 Å
α = 90.00°, β = 90.00°, γ = 90.00°
Closest atoms and distances in Å follow each position.
Space group Pmm2 (No. 25)
One atom of each set of equivalent atoms:
1 Te 0.0000 0.0000 0.0000  4 C 2.60-2.62, 4 Te 2.74
2 C 0.0000 0.5000 0.6351  2 C 1.59
3 C 0.5000 0.0000 0.3700  2 C 1.59
4 C 0.5000 0.5000 0.5026  4 C 1.59

(11)
Here is a geometry-optimized Li2GeH structure from the Alexandria database. Energies are from PBE-GGA.

Excess energy over the best structure of this formula in the dataset (kcal/mol of atoms): 0.00

a = 2.9177 Å, b = 2.9177 Å, c = 20.3145 Å
α = 90.00°, β = 90.00°, γ = 120.00°
Closest atoms and distances in Å follow each position.
Space group R-3m (No. 166, hexagonal axes)
One atom of each set of equivalent atoms:
1 Li 0.0000 0.0000 0.2228  3 H 2.03
2 Ge 0.0000 0.0000 0.0000  6 Li 2.81, 6 Ge 2.92
3 H 0.0000 0.0000 0.5000  6 Li 2.03

(12)
Here is a geometry-optimized RbTaGeTe structure from the Alexandria database. Energies are from PBE-GGA.

Excess energy over the best structure of this formula in the dataset (kcal/mol of atoms): 0.80
E_form (uncorrected) (meV/atom): -101

a = 3.9448 Å, b = 3.9448 Å, c = 25.8589 Å
α = 90.00°, β = 90.00°, γ = 120.00°
Closest atoms and distances in Å follow each position.
Space group R3m (No. 160, hexagonal axes)
One atom of each set of equivalent atoms:
1 Rb 0.0000 0.0000 0.0000  3 Ge 3.54, 3 Te 3.63, 6 Rb 3.94
2 Ta 0.0000 0.0000 0.1545  3 Ge 2.61, 3 Te 2.90
3 Ge 0.0000 0.0000 0.7715  3 Ta 2.61
4 Te 0.0000 0.0000 0.5572  3 Ta 2.90

(13)
Here is a geometry-optimized BaCuSi2 structure from the Alexandria database. Energies are from PBE-GGA.

E_form (uncorrected) (meV/atom): 411

a = 4.9536 Å, b = 4.9536 Å, c = 7.0647 Å
α = 90.00°, β = 90.00°, γ = 90.00°
Closest atoms and distances in Å follow each position.
Space group I-4m2 (No. 119)
One atom of each set of equivalent atoms:
1 Ba 0.0000 0.0000 0.0000  4 Cu 3.04, 4 Si 3.04
2 Cu 0.0000 0.5000 0.7500  4 Ba 3.04, 4 Si 3.04
3 Si 0.0000 0.0000 0.5000  4 Cu 3.04, 4 Si 3.04
4 Si 0.0000 0.5000 0.2500  4 Ba 3.04, 4 Si 3.04

(14)
Here is a geometry-optimized K4Ca3Cl10 structure from the Alexandria database. Energies are from PBE-GGA.

E_form (uncorrected) (meV/atom): -2172

a = 5.3962 Å, b = 5.3962 Å, c = 37.3631 Å
α = 90.00°, β = 90.00°, γ = 90.00°
Closest atoms and distances in Å follow each position.
Space group I4/mmm (No. 139)
One atom of each set of equivalent atoms:
1 K 0.0000 0.0000 0.0693  12 Cl 3.74-3.85
2 K 0.0000 0.0000 0.2016  1 Cl 3.05
3 Ca 0.0000 0.0000 0.3544  6 Cl 2.66-2.74
4 Ca 0.0000 0.0000 0.5000  6 Cl 2.70
5 Cl 0.0000 0.0000 0.2831  1 Ca 2.66
6 Cl 0.0000 0.0000 0.4278  2 Ca 2.70-2.74
7 Cl 0.0000 0.5000 0.0000  2 Ca 2.70
8 Cl 0.0000 0.5000 0.1428  2 Ca 2.70

(15)
Here is a geometry-optimized Hf4AlSb structure from the Alexandria database. Energies are from PBE-GGA.

Excess energy over the best structure of this formula in the dataset (kcal/mol of atoms): 0.00
E_form (uncorrected) (meV/atom): -333

a = 6.7789 Å, b = 6.7789 Å, c = 5.5535 Å
α = 90.00°, β = 90.00°, γ = 90.00°
Closest atoms and distances in Å follow each position.
Space group P4/mcc (No. 124)
One atom of each set of equivalent atoms:
1 Hf 0.1445 0.3404 0.0000  2 Al 2.87, 1 Hf 2.92, 2 Sb 2.98
2 Al 0.0000 0.0000 0.2500  2 Al 2.78, 8 Hf 2.87
3 Sb 0.5000 0.5000 0.2500  2 Sb 2.78, 8 Hf 2.98

(16)
Here is a geometry-optimized LiAs2I8 structure from the Alexandria database. Energies are from PBE-GGA.

E_form (uncorrected) (meV/atom): -267

a = 13.9461 Å, b = 11.8828 Å, c = 7.0816 Å
α = 90.00°, β = 99.45°, γ = 90.00°
Closest atoms and distances in Å follow each position.
Space group C2/m (No. 12)
One atom of each set of equivalent atoms:
1 Li 0.0000 0.0000 0.0000  4 I 2.94
2 As 0.2011 0.0000 0.7013  4 I 2.66-2.76
3 I 0.0965 0.1738 0.8024  1 As 2.69, 1 Li 2.94
4 I 0.1103 0.5000 0.1069  1 As 2.76
5 I 0.1989 0.0000 0.3247  1 As 2.66

(17)
Here is a geometry-optimized La2PuN2 structure from the Alexandria database. Energies are from PBE-GGA.

E_form (uncorrected) (meV/atom): -947

a = 3.5712 Å, b = 5.3170 Å, c = 10.7912 Å
α = 90.00°, β = 90.00°, γ = 90.00°
Closest atoms and distances in Å follow each position.
Space group Immm (No. 71)
One atom of each set of equivalent atoms:
1 La 0.0000 0.0000 0.1745  4 N 2.58-2.67
2 Pu 0.0000 0.0000 0.5000  4 N 2.43
3 N 0.0000 0.5000 0.1525  2 Pu 2.43, 4 La 2.58-2.67

(18)
Here is a geometry-optimized Pr8Sm3Tm structure from the Alexandria database. Energies are from PBE-GGA.

Calculated formation energy (eV/atom): 0.55

a = 8.8751 Å, b = 8.8751 Å, c = 11.7357 Å
α = 90.00°, β = 90.00°, γ = 90.00°
Closest atoms and distances in Å follow each position.
Space group I-42m (No. 121)
One atom of each set of equivalent atoms:
1 Pr 0.1246 0.1246 0.2515  3 Pr 3.13-3.36, 1 Tm 3.31, 1 Sm 3.34
2 Pr 0.2477 0.2477 0.5059  1 Tm 3.11, 1 Sm 3.17, 2 Pr 3.30-3.36
3 Sm 0.0000 0.0000 0.0000  8 Pr 3.17-3.34
4 Sm 0.0000 0.5000 0.2500  4 Pr 3.51
5 Tm 0.0000 0.0000 0.5000  8 Pr 3.11-3.31

(19)
Here is a geometry-optimized PrTmMnCd structure from the Alexandria database. Energies are from PBE-GGA.

Calculated formation energy (eV/atom): 0.01

a = 7.4081 Å, b = 7.4081 Å, c = 7.4081 Å
α = 90.00°, β = 90.00°, γ = 90.00°
Closest atoms and distances in Å follow each position.
Space group F-43m (No. 216)
One atom of each set of equivalent atoms:
1 Pr 0.0000 0.0000 0.0000  4 Mn 3.21, 4 Cd 3.21
2 Tm 0.0000 0.0000 0.5000  4 Cd 3.21, 4 Mn 3.21
3 Mn 0.2500 0.2500 0.2500  4 Pr 3.21, 4 Tm 3.21
4 Cd 0.2500 0.2500 0.7500  4 Pr 3.21, 4 Tm 3.21

(20)
Here is a geometry-optimized Rb2OsRhBr6 structure from the Alexandria database. Energies are from PBE-GGA.

E_form (uncorrected) (meV/atom): -533

a = 7.4256 Å, b = 7.4256 Å, c = 10.5197 Å
α = 90.00°, β = 90.00°, γ = 90.00°
Closest atoms and distances in Å follow each position.
Space group I4/mmm (No. 139)
One atom of each set of equivalent atoms:
1 Rb 0.0000 0.5000 0.2500  12 Br 3.71-3.72
2 Os 0.0000 0.0000 0.0000  6 Br 2.58
3 Rh 0.0000 0.0000 0.5000  6 Br 2.67-2.68
4 Br 0.0000 0.0000 0.2449  1 Os 2.58, 1 Rh 2.68
5 Br 0.2454 0.2454 0.0000  1 Os 2.58, 1 Rh 2.67

(21)
Here is a geometry-optimized Nd8Dy3Er2 structure from the Alexandria database. Energies are from PBE-GGA.

Calculated formation energy (eV/atom): 0.20

a = 20.3495 Å, b = 7.7379 Å, c = 5.7519 Å
α = 90.00°, β = 90.03°, γ = 90.00°
Closest atoms and distances in Å follow each position.
Space group C2/m (No. 12)
One atom of each set of equivalent atoms:
1 Nd 0.1064 0.2053 0.0003  1 Dy 3.14, 1 Nd 3.18, 1 Er 3.51
2 Nd 0.1316 0.5000 0.4996  2 Dy 3.47, 2 Er 3.62-3.63, 4 Nd 3.70-3.71
3 Nd 0.1736 0.0000 0.5010  2 Er 3.37, 4 Nd 3.56
4 Dy 0.0000 0.2143 0.5000  3 Dy 3.32-3.63, 6 Nd 3.47-3.60
5 Dy 0.0000 0.5000 0.0000  4 Nd 3.14
6 Er 0.2399 0.5000 0.9988  8 Nd 3.37-3.63

(22)
Here is a geometry-optimized DyThPb structure from the Alexandria database. Energies are from PBE-GGA.

Calculated formation energy (eV/atom): -0.35
Excess energy over the best structure of this formula in the dataset (kcal/mol of atoms): 0.00

a = 4.5790 Å, b = 4.5790 Å, c = 17.6682 Å
α = 90.00°, β = 90.00°, γ = 90.00°
Closest atoms and distances in Å follow each position.
Space group I4/mmm (No. 139)
One atom of each set of equivalent atoms:
1 Dy 0.0000 0.0000 0.1738  5 Pb 3.18-3.27
2 Th 0.0000 0.5000 0.0000  4 Th 3.24, 4 Pb 3.45
3 Pb 0.0000 0.0000 0.3540  5 Dy 3.18-3.27, 4 Th 3.45